The following is a DFT calculation (PBE) of BPt after structural relaxation.

Output
DOS at the Fermi energy: 0.37 states/eV/atom
energy of formation: 43 meV/atom

Geometry as CIF:
```
data_BPt
_cell_length_a 8.292
_cell_length_b 8.292
_cell_length_c 3.299
_cell_angle_alpha 90.00
_cell_angle_beta 90.00
_cell_angle_gamma 90.00
_space_group_name_H-M_alt 'P 1'
_space_group_IT_number 1
_space_group_name_Hall 'P 1'
loop_
_atom_site_label
_atom_site_type_symbol
_atom_site_fract_x
_atom_site_fract_y
_atom_site_fract_z
Pt1 Pt 0.730 0.083 0.000
Pt2 Pt 0.201 0.655 0.500
Pt3 Pt 0.655 0.799 0.500
Pt4 Pt 0.270 0.917 0.000
Pt5 Pt 0.917 0.730 0.000
Pt6 Pt 0.799 0.345 0.500
Pt7 Pt 0.345 0.201 0.500
Pt8 Pt 0.083 0.270 0.000
B1 B 0.474 0.110 0.000
B2 B 0.809 0.597 0.500
B3 B 0.597 0.191 0.500
B4 B 0.403 0.809 0.500
B5 B 0.890 0.474 0.000
B6 B 0.526 0.890 0.000
B7 B 0.110 0.526 0.000
B8 B 0.191 0.403 0.500
```